No. 1
# Mg3Tl4AgF12, optimized geometry, DFT PBE
data_Mg3Tl4AgF12
_chemical_formula_sum 'Mg6 Tl8 Ag2 F24'
_symmetry_space_group_name_H-M 'I m -3 m'
_symmetry_Int_Tables_number 229
_symmetry_space_group_name_Hall '-I 4 2 3'
_cell_length_a 8.448
_cell_length_b 8.448
_cell_length_c 8.448
_cell_angle_alpha 90.00
_cell_angle_beta 90.00
_cell_angle_gamma 90.00
loop_
_atom_site_label
_atom_site_type_symbol
_atom_site_fract_x
_atom_site_fract_y
_atom_site_fract_z
Mg1 Mg 0.000 0.000 0.500
Tl1 Tl 0.250 0.250 0.250
Ag1 Ag 0.000 0.000 0.000
F1 F 0.000 0.000 0.267
F2 F 0.000 0.250 0.500
# Formation energy (no corrections) (eV per formula unit): -49.12
# Total moment (μB per cell): 1.891

***

No. 2
# MgTl2Ag2F6, optimized geometry, DFT PBE
data_MgTl2Ag2F6
_chemical_formula_sum 'Mg3 Tl6 Ag6 F18'
_symmetry_space_group_name_H-M 'R -3 m'
_symmetry_Int_Tables_number 166
_symmetry_space_group_name_Hall '-R 3 2"'
_cell_length_a 6.6427
_cell_length_b 6.6427
_cell_length_c 15.4180
_cell_angle_alpha 90.00
_cell_angle_beta 90.00
_cell_angle_gamma 120.00
loop_
_atom_site_label
_atom_site_type_symbol
_atom_site_fract_x
_atom_site_fract_y
_atom_site_fract_z
Mg1 Mg 0.0000 0.0000 0.0000
Tl1 Tl 0.0000 0.0000 0.2140
Ag1 Ag 0.0000 0.0000 0.4033
F1 F 0.0609 0.5305 0.7499
# Formation energy (no corrections) (eV per formula unit): -21.38
# Total moment (μB per cell): 0.000

***

No. 3
# MgTlAg2F6, optimized geometry, DFT PBE
data_MgTlAg2F6
_chemical_formula_sum 'Mg2 Tl2 Ag4 F12'
_symmetry_space_group_name_H-M 'P 1 21/c 1'
_symmetry_Int_Tables_number 14
_cell_length_a 5.918
_cell_length_b 5.983
_cell_length_c 10.250
_cell_angle_alpha 90.00
_cell_angle_beta 124.97
_cell_angle_gamma 90.00
loop_
_symmetry_equiv_pos_as_xyz
'x,y,z'
'-x,-y,-z'
'-x,y+1/2,-z+1/2'
'x,-y+1/2,z+1/2'
loop_
_atom_site_label
_atom_site_type_symbol
_atom_site_fract_x
_atom_site_fract_y
_atom_site_fract_z
Mg1 Mg 0.000 0.000 0.000
Tl1 Tl 0.500 0.000 0.500
Ag1 Ag 0.273 0.066 0.753
F1 F 0.102 0.033 0.225
F2 F 0.223 0.715 0.060
F3 F 0.343 0.177 0.067
# Formation energy (no corrections) (eV per formula unit): -19.40
# Total moment (μB per cell): 0.000

***

No. 4
# MgTl2AgF, optimized geometry, DFT PBE
data_MgTl2AgF
_chemical_formula_sum 'Mg1 Tl2 Ag1 F1'
_symmetry_space_group_name_H-M 'P 4/m m m'
_symmetry_Int_Tables_number 123
_symmetry_space_group_name_Hall '-P 4 2'
_cell_length_a 5.519
_cell_length_b 5.519
_cell_length_c 5.167
_cell_angle_alpha 90.00
_cell_angle_beta 90.00
_cell_angle_gamma 90.00
loop_
_atom_site_label
_atom_site_type_symbol
_atom_site_fract_x
_atom_site_fract_y
_atom_site_fract_z
Mg1 Mg 0.000 0.000 0.000
Tl1 Tl 0.000 0.500 0.500
Ag1 Ag 0.000 0.000 0.500
F1 F 0.500 0.500 0.000
# Formation energy (no corrections) (eV per formula unit): -1.28
# Total moment (μB per cell): 0.000